Material: CsH3Pd
Method: DFT, PBE
State: optimized geometry

- E (eV/cell) = -15.8
- calculated density (g/cm3) = 6.114
- ΔE to the lowest computed polymorph (meV per atom) = 149

a b c (Å): 4.0376 4.0376 4.0376
angles (deg): 90.00 90.00 90.00
Sites, in units of the cell vectors:
1 Cs 0.0000 0.0000 0.0000
2 H 0.0000 0.5000 0.5000
3 H 0.5000 0.0000 0.5000
4 H 0.5000 0.5000 0.0000
5 Pd 0.5000 0.5000 0.5000